Record 1
Compound: InReRh2
Source: Alexandria via LeMat-Bulk
Functional: PBEsol
Structure: relaxed

Results
VASP energy	-8.00	eV/atom
space-group type	No. 119

abc: 4.8383 4.8383 4.8383
angles: 132.66 132.66 69.19
Atoms (fractional coordinates):
1 In 0.0000 0.0000 0.0000
2 Re 0.7500 0.2500 0.5000
3 Rh 0.2500 0.7500 0.5000
4 Rh 0.5000 0.5000 0.0000



Record 2
Compound: InRe2Rh
Source: Alexandria via LeMat-Bulk
Functional: PBEsol
Structure: relaxed

Results
VASP energy	-9.29	eV/atom
space-group type	No. 6

abc: 2.8321 3.8579 5.7061
angles: 90.00 91.19 90.00
Atoms (fractional coordinates):
1 In 0.0000 0.0000 0.0000
2 Re 0.5313 0.5000 0.2992
3 Re 0.9623 0.0000 0.4960
4 Rh 0.4876 0.5000 0.7655



Record 3
Compound: InRe2Rh
Source: Alexandria via LeMat-Bulk
Functional: PBEsol
Structure: relaxed

Results
VASP energy	-9.16	eV/atom
space-group type	No. 139

abc: 5.0639 5.0639 5.0639
angles: 136.27 136.27 63.56
Atoms (fractional coordinates):
1 In 0.0000 0.0000 0.0000
2 Re 0.2500 0.7500 0.5000
3 Re 0.7500 0.2500 0.5000
4 Rh 0.5000 0.5000 0.0000



Record 4
Compound: SrIn2ReRh
Source: Alexandria via LeMat-Bulk
Functional: PBEsol
Structure: relaxed

Results
VASP energy	-5.30	eV/atom
space-group type	No. 123

abc: 5.0326 5.0326 4.8294
angles: 90.00 90.00 90.00
Atoms (fractional coordinates):
1 Sr 0.0000 0.0000 0.0000
2 In 0.0000 0.5000 0.5000
3 In 0.5000 0.0000 0.5000
4 Re 0.5000 0.5000 0.0000
5 Rh 0.5000 0.5000 0.5000



Record 5
Compound: In2ReRu
Source: Alexandria via LeMat-Bulk
Functional: PBEsol
Structure: relaxed

Results
VASP energy	-6.79	eV/atom
energy relative to the lowest polymorph listed for this composition	0.057	eV/atom
space-group type	No. 71

abc: 5.4042 5.4042 5.4042
angles: 147.80 125.30 64.91
Atoms (fractional coordinates):
1 In 0.2428 0.2428 0.0000
2 In 0.7572 0.7572 0.0000
3 Re 0.5000 0.0000 0.5000
4 Ru 0.0000 0.5000 0.5000



Record 6
Compound: In2ReRu
Source: Alexandria via LeMat-Bulk
Functional: PBEsol
Structure: relaxed

Results
VASP energy	-6.84	eV/atom
energy relative to the lowest polymorph listed for this composition	0.000	eV/atom
space-group type	No. 225

abc: 4.5443 4.5443 4.5443
angles: 60.00 60.00 60.00
Atoms (fractional coordinates):
1 In 0.2500 0.2500 0.2500
2 In 0.7500 0.7500 0.7500
3 Re 0.0000 0.0000 0.0000
4 Ru 0.5000 0.5000 0.5000



For reference, spin magnetization by record: 0.000 0.000 0.000 0.080 0.022 0.352 μB per atom.
For reference, D(E_F) by record: 1.010 0.687 0.620 1.066 1.070 1.345 states/eV/atom.